DFT (PBE) results for a geometry-optimized TlIrSeBr2 structure.

a b c (Å): 5.5066 5.5066 5.4921
angles (deg): 90.00 90.00 90.00
Space group P4/mmm (No. 123)
One atom of each set of equivalent atoms:
Tl (0.0000, 0.0000, 0.0000) (multiplicity 1)
Ir (0.5000, 0.5000, 0.5000) (multiplicity 1)
Se (0.0000, 0.0000, 0.5000) (multiplicity 1)
Br (0.0000, 0.5000, 0.0000) (multiplicity 2)

Calculated values
The value obtained for the density is 6.34 Mg/m³. Its energy relative to the elements, uncorrected is 1.22 eV/atom. The energy above the most stable polymorph in this dataset comes out at 1.309 eV/atom. The total magnetic moment comes out at 0.61 μB/atom. For the density of states at the Fermi level, the calculation gives 1.011 states/eV/atom.


DFT (PBE) results for a geometry-optimized Dy5Th2Sc4 structure.

a b c (Å): 8.3916 3.4342 11.4571
angles (deg): 90.00 96.69 90.00
Space group P2/m (No. 10)
One atom of each set of equivalent atoms:
Dy (0.0000, 0.0000, 0.0000) (multiplicity 1)
Dy (0.0472, 0.0000, 0.2963) (multiplicity 2)
Dy (0.3401, 0.0000, 0.8650) (multiplicity 2)
Th (0.4623, 0.0000, 0.3618) (multiplicity 2)
Sc (0.1953, 0.5000, 0.5387) (multiplicity 2)
Sc (0.3118, 0.5000, 0.1229) (multiplicity 2)

Calculated values
The value obtained for the density is 7.37 Mg/m³. The energy above the most stable polymorph in this dataset comes out at 0.000 eV/atom. The total magnetic moment comes out at 0.00 μB/atom. As for the formation energy from the elements: 0.148 eV/atom. For the density of states at the Fermi level, the calculation gives 1.856 states/eV/atom.


DFT (PBE) results for a geometry-optimized LiPmSm2Te5 structure.

a b c (Å): 4.4054 18.7561 13.2944
angles (deg): 90.00 90.00 90.00
Space group Cmc2_1 (No. 36)
One atom of each set of equivalent atoms:
Li (0.0000, 0.0541, 0.0000) (multiplicity 4)
Pm (0.0000, 0.3014, 0.5423) (multiplicity 4)
Sm (0.0000, 0.3744, 0.8357) (multiplicity 4)
Sm (0.0000, 0.3942, 0.2198) (multiplicity 4)
Te (0.0000, 0.0020, 0.3172) (multiplicity 4)
Te (0.0000, 0.1344, 0.5333) (multiplicity 4)
Te (0.0000, 0.1854, 0.8754) (multiplicity 4)
Te (0.0000, 0.2165, 0.2071) (multiplicity 4)
Te (0.0000, 0.4541, 0.6101) (multiplicity 4)

Calculated values
The value obtained for the density is 6.59 Mg/m³. Its energy relative to the elements, uncorrected is -1.29 eV/atom. The total magnetic moment comes out at 0.00 μB/atom.


DFT (PBE) results for a geometry-optimized HfMnPd6 structure.

a b c (Å): 3.9694 3.9694 7.9405
angles (deg): 90.00 90.00 90.00
Space group P4/mmm (No. 123)
One atom of each set of equivalent atoms:
Hf (0.0000, 0.0000, 0.0000) (multiplicity 1)
Mn (0.0000, 0.0000, 0.5000) (multiplicity 1)
Pd (0.0000, 0.5000, 0.2520) (multiplicity 4)
Pd (0.5000, 0.5000, 0.0000) (multiplicity 1)
Pd (0.5000, 0.5000, 0.5000) (multiplicity 1)

Calculated values
The value obtained for the density is 11.57 Mg/m³. The energy above the most stable polymorph in this dataset comes out at 0.000 eV/atom. The total magnetic moment comes out at 0.50 μB/atom. As for the formation energy from the elements: -0.562 eV/atom. For the density of states at the Fermi level, the calculation gives 0.796 states/eV/atom.


DFT (PBE) results for a geometry-optimized GdErFe structure.

a b c (Å): 3.3547 3.3547 12.7046
angles (deg): 90.00 90.00 90.00
Space group I4mm (No. 107)
One atom of each set of equivalent atoms:
Gd (0.0000, 0.0000, 0.0000) (multiplicity 2)
Er (0.0000, 0.0000, 0.2528) (multiplicity 2)
Fe (0.0000, 0.0000, 0.6287) (multiplicity 2)

Calculated values
The value obtained for the density is 8.84 Mg/m³. The total magnetic moment comes out at 2.19 μB/atom. As for the formation energy from the elements: 0.041 eV/atom. For the density of states at the Fermi level, the calculation gives 0.981 states/eV/atom.


DFT (PBE) results for a geometry-optimized ScFeTe structure.

a b c (Å): 4.2635 4.2635 3.6132
angles (deg): 90.00 90.00 120.00
Space group P3m1 (No. 156)
One atom of each set of equivalent atoms:
Sc (0.0000, 0.0000, 0.0000) (multiplicity 1)
Fe (0.3333, 0.6667, 0.5406) (multiplicity 1)
Te (0.6667, 0.3333, 0.5119) (multiplicity 1)

Calculated values
The value obtained for the density is 6.67 Mg/m³. Its energy relative to the elements, uncorrected is -0.36 eV/atom. The total magnetic moment comes out at 0.44 μB/atom. For the density of states at the Fermi level, the calculation gives 0.565 states/eV/atom.


DFT (PBE) results for a geometry-optimized ScAg2HPb structure.

a b c (Å): 4.4099 4.4099 4.4406
angles (deg): 90.00 90.00 90.00
Space group P4/mmm (No. 123)
One atom of each set of equivalent atoms:
Sc (0.0000, 0.0000, 0.0000) (multiplicity 1)
Ag (0.0000, 0.5000, 0.5000) (multiplicity 2)
H (0.0000, 0.0000, 0.5000) (multiplicity 1)
Pb (0.5000, 0.5000, 0.0000) (multiplicity 1)

Calculated values
The value obtained for the density is 9.02 Mg/m³. For the total energy, the calculation gives -0.289 Ry/atom. The total magnetic moment comes out at 0.00 μB/atom. For the density of states at the Fermi level, the calculation gives 0.443 states/eV/atom.


DFT (PBE) results for a geometry-optimized Ta3GaP structure.

a b c (Å): 4.5941 4.5941 4.5941
angles (deg): 90.00 90.00 90.00
Space group Pm-3m (No. 221)
One atom of each set of equivalent atoms:
Ta (0.0000, 0.0000, 0.5000) (multiplicity 3)
Ga (0.5000, 0.5000, 0.5000) (multiplicity 1)
P (0.0000, 0.0000, 0.0000) (multiplicity 1)

Calculated values
The value obtained for the density is 11.02 Mg/m³. The energy above the most stable polymorph in this dataset comes out at 0.000 eV/atom. The total magnetic moment comes out at 0.00 μB/atom. As for the formation energy from the elements: 0.438 eV/atom. For the density of states at the Fermi level, the calculation gives 1.539 states/eV/atom.


Among the records above, which one has the lowest density?
TlIrSeBr2


total magnetic moment of number 4 (HfMnPd6)?
0.50 μB/atom


Among the records above, which one has the lowest density?
TlIrSeBr2


Number 1 is which compound?
TlIrSeBr2